No. 1
Crystalline LiAgHg2 at its relaxed geometry, computed with PBEsol.

## Properties
As for the total magnetic moment: 0.00 μB/cell. Its space group is Pmm2 (25). The value obtained for the formation energy from the elements is -0.20 eV/atom.

abc: 2.9962 4.7507 5.1718
angles: 90.00 90.00 90.00
Sites, in units of the cell vectors:
Ag 0.5000 0.5000 0.2156
Hg 0.0000 0.0000 0.0472
Li 0.5000 0.0000 0.5401
Hg 0.0000 0.5000 0.6971

=====

No. 2
Crystalline LiAgHg2 at its relaxed geometry, computed with PBEsol.

## Properties
As for the total magnetic moment: 0.00 μB/cell. Its space group is C2/m (12). The value obtained for the formation energy from the elements is -0.17 eV/atom.

abc: 3.1025 4.9225 5.3551
angles: 100.34 90.00 108.37
Sites, in units of the cell vectors:
Hg 0.7469 0.4938 0.7457
Hg 0.2531 0.5062 0.2543
Li 0.0000 0.0000 0.5000
Ag 0.5000 0.0000 0.0000

=====

No. 3
Crystalline LiAg2Hg at its relaxed geometry, computed with PBEsol.

## Properties
As for the total magnetic moment: 0.00 μB/cell. Its space group is P2/m (10). The value obtained for the formation energy from the elements is -0.13 eV/atom.

abc: 2.8596 4.6692 5.1866
angles: 90.00 96.39 90.00
Sites, in units of the cell vectors:
Hg 0.5000 0.5000 0.0000
Li 0.0000 0.5000 0.5000
Ag 0.7768 0.0000 0.7375
Ag 0.2232 0.0000 0.2625

=====

No. 4
Crystalline LiAgHg2 at its relaxed geometry, computed with PBEsol.

## Properties
As for the total magnetic moment: 0.00 μB/cell. Its space group is R-3m (166). The value obtained for the formation energy from the elements is -0.15 eV/atom.

abc: 3.0990 3.0990 9.2838
angles: 80.39 80.39 60.00
Sites, in units of the cell vectors:
Ag 0.0000 0.0000 0.0000
Hg 0.7535 0.7535 0.7395
Hg 0.2465 0.2465 0.2605
Li 0.5000 0.5000 0.5000

=====

No. 5
Crystalline LiAgHg2 at its relaxed geometry, computed with PBEsol.

## Properties
As for the total magnetic moment: 0.00 μB/cell. Its space group is Cm (8). The value obtained for the formation energy from the elements is -0.22 eV/atom.

abc: 4.1633 4.1667 5.1608
angles: 114.00 113.79 90.00
Sites, in units of the cell vectors:
Ag 0.2500 0.7496 0.4999
Hg 0.9999 0.0006 0.9999
Hg 0.7500 0.2499 0.5001
Li 0.5000 0.5000 0.0001

=====

No. 6
Crystalline LiAg2Hg at its relaxed geometry, computed with PBEsol.

## Properties
As for the total magnetic moment: 0.00 μB/cell. Its space group is Cm (8). The value obtained for the formation energy from the elements is -0.14 eV/atom.

abc: 3.0115 4.9103 4.9918
angles: 100.97 107.56 90.00
Sites, in units of the cell vectors:
Hg 0.5006 0.5056 0.0011
Ag 0.0006 0.0004 0.0012
Li 0.2506 0.7516 0.5013
Ag 0.7482 0.2424 0.4964

=====

No. 7
Crystalline Li3AgHg at its relaxed geometry, computed with PBEsol.

## Properties
As for the total magnetic moment: 0.00 μB/cell. Its space group is Pm-3m (221). The value obtained for the formation energy from the elements is 0.09 eV/atom.

abc: 4.7783 4.7783 4.7783
angles: 90.00 90.00 90.00
Sites, in units of the cell vectors:
Li 0.0000 0.5000 0.0000
Hg 0.5000 0.5000 0.5000
Li 0.0000 0.0000 0.5000
Li 0.5000 0.0000 0.0000
Ag 0.0000 0.0000 0.0000

=====

No. 8
Crystalline LiAg2Hg at its relaxed geometry, computed with PBEsol.

## Properties
As for the total magnetic moment: 0.00 μB/cell. Its space group is I-4m2 (119). The value obtained for the formation energy from the elements is -0.20 eV/atom.

abc: 4.1264 4.1264 4.9383
angles: 114.70 114.70 90.00
Sites, in units of the cell vectors:
Li 0.7500 0.2500 0.5000
Hg 0.5000 0.5000 0.0000
Ag 0.2500 0.7500 0.5000
Ag 0.0000 0.0000 0.0000

=====

No. 9
Crystalline LiAgHg2 at its relaxed geometry, computed with PBEsol.

## Properties
As for the total magnetic moment: 0.00 μB/cell. Its space group is P4mm (99). The value obtained for the formation energy from the elements is -0.16 eV/atom.

abc: 3.0682 3.0682 7.8262
angles: 90.00 90.00 90.03
Sites, in units of the cell vectors:
Hg 0.5000 0.5000 0.7140
Li 0.0000 0.0000 0.4924
Ag 0.5000 0.5000 0.2755
Hg 0.0000 0.0000 0.0181

=====

No. 10
Crystalline LiAg3Hg at its relaxed geometry, computed with PBEsol.

## Properties
As for the total magnetic moment: 0.00 μB/cell. Its space group is Pm-3m (221). The value obtained for the formation energy from the elements is 0.40 eV/atom.

abc: 4.4737 4.4737 4.4737
angles: 90.00 90.00 90.00
Sites, in units of the cell vectors:
Ag 0.0000 0.5000 0.0000
Ag 0.5000 0.0000 0.0000
Hg 0.5000 0.5000 0.5000
Ag 0.0000 0.0000 0.5000
Li 0.0000 0.0000 0.0000

=====

No. 11
Crystalline LiAgHg2 at its relaxed geometry, computed with PBEsol.

## Properties
As for the total magnetic moment: 0.00 μB/cell. Its space group is F-43m (216). The value obtained for the formation energy from the elements is -0.20 eV/atom.

abc: 4.7065 4.7065 4.7065
angles: 60.00 60.00 60.00
Sites, in units of the cell vectors:
Hg 0.7500 0.7500 0.7500
Hg 0.0000 0.0000 0.0000
Li 0.2500 0.2500 0.2500
Ag 0.5000 0.5000 0.5000

=====

No. 12
Crystalline LiAg2Hg at its relaxed geometry, computed with PBEsol.

## Properties
As for the total magnetic moment: 0.00 μB/cell. Its space group is P4/mmm (123). The value obtained for the formation energy from the elements is -0.11 eV/atom.

abc: 3.2757 3.2757 6.3339
angles: 90.00 90.00 90.00
Sites, in units of the cell vectors:
Hg 0.5000 0.5000 0.0000
Li 0.5000 0.5000 0.5000
Ag 0.0000 0.0000 0.2758
Ag 0.0000 0.0000 0.7242

=====

> Look up the formation energy from the elements of the seventh one.

0.09 eV/atom